A relaxed structure of CaTaAl3. Source: the Alexandria database, functional PBE.

Geometry as POSCAR:
```
CaTaAl3
1.0
5.055 0.000 0.000
0.000 5.055 0.000
0.000 0.000 5.055
Al Ta Ca
3 1 1
Cartesian
2.528 0.000 0.000 Al
0.000 2.528 0.000 Al
0.000 0.000 2.528 Al
0.000 0.000 0.000 Ta
2.528 2.528 2.528 Ca
```

- DFT formation energy: 292 meV/atom
- Final energy: -4.7245 eV per atom
- Mass density: 3.9 g/cm3
- Space group: Pm-3m, No. 221
- Energy above the most stable polymorph in this dataset: 0.000 eV per formula unit


A relaxed structure of CaTaAl2. Source: the Alexandria database, functional PBE.

Geometry as POSCAR:
```
CaTaAl2
1.0
4.915 -0.001 0.003
4.022 2.826 0.003
0.680 0.215 6.132
Ca Ta Al
1 1 2
Cartesian
7.213 2.280 4.604 Ca
2.404 0.760 1.535 Ta
8.916 2.818 0.385 Al
4.830 1.527 2.690 Al
```

- DFT formation energy: 125 meV/atom
- Final energy: -5.2101 eV per atom
- Mass density: 5.4 g/cm3
- Space group: C2/m, No. 12
- Energy above the most stable polymorph in this dataset: 1.061 eV per formula unit


A relaxed structure of CaTaAl2. Source: the Alexandria database, functional PBE.

Geometry as POSCAR:
```
CaTaAl2
1.0
-0.164 -4.961 1.256
1.615 -0.226 4.853
-3.647 2.941 -2.066
Al Ta Ca
2 1 1
Cartesian
0.725 -2.594 3.055 Al
1.451 -5.187 6.109 Al
-0.653 0.061 2.921 Ta
-1.543 -2.307 1.122 Ca
```

- DFT formation energy: 139 meV/atom
- Final energy: -5.1962 eV per atom
- Mass density: 5.8 g/cm3
- Space group: I4/mmm, No. 139
- Energy above the most stable polymorph in this dataset: 1.116 eV per formula unit


A relaxed structure of CaTa3Al. Source: the Alexandria database, functional PBE.

Geometry as POSCAR:
```
CaTa3Al
1.0
4.873 0.000 0.000
0.000 4.873 0.000
0.000 0.000 4.873
Al Ta Ca
1 3 1
Cartesian
0.000 0.000 0.000 Al
0.000 2.437 0.000 Ta
0.000 0.000 2.437 Ta
2.437 0.000 0.000 Ta
2.437 2.437 2.437 Ca
```

- DFT formation energy: 1201 meV/atom
- Final energy: -7.0591 eV per atom
- Mass density: 8.8 g/cm3
- Space group: Pm-3m, No. 221
- Energy above the most stable polymorph in this dataset: 0.000 eV per formula unit


A relaxed structure of CaTaAl2. Source: the Alexandria database, functional PBE.

Geometry as POSCAR:
```
CaTaAl2
1.0
4.804 0.000 0.000
2.402 4.160 0.000
2.402 1.387 3.922
Al Ca Ta
2 1 1
Cartesian
2.402 1.387 0.981 Al
0.000 0.000 0.000 Al
4.804 2.773 1.961 Ca
7.205 4.160 2.942 Ta
```

- DFT formation energy: 506 meV/atom
- Final energy: -4.8293 eV per atom
- Mass density: 5.8 g/cm3
- Space group: F-43m, No. 216
- Energy above the most stable polymorph in this dataset: 2.584 eV per formula unit


A relaxed structure of CaTa4Al. Source: the Alexandria database, functional PBE.

Geometry as POSCAR:
```
CaTa4Al
1.0
4.604 -3.185 0.481
1.689 -1.751 5.065
-0.468 -5.422 1.399
Ta Ca Al
4 1 1
Cartesian
1.936 -6.616 3.301 Ta
2.173 -3.865 2.591 Ta
3.030 -4.753 5.162 Ta
4.510 -5.481 2.835 Ta
0.000 0.000 0.000 Ca
4.368 -7.768 5.208 Al
```

- DFT formation energy: 462 meV/atom
- Final energy: -8.3972 eV per atom
- Mass density: 10.5 g/cm3
- Space group: F-43m, No. 216


A relaxed structure of Ca2TaAl. Source: the Alexandria database, functional PBE.

Geometry as POSCAR:
```
Ca2TaAl
1.0
-1.208 -2.447 1.505
2.382 -1.765 -0.960
5.269 2.551 8.379
Ta Ca Al
1 2 1
Cartesian
2.853 1.381 4.536 Ta
2.090 -1.379 2.663 Ca
5.012 2.427 7.970 Ca
4.391 -0.264 6.322 Al
```

- DFT formation energy: 243 meV/atom
- Final energy: -4.6566 eV per atom
- Mass density: 4.8 g/cm3
- Space group: P4mm, No. 99


A relaxed structure of CaTaAl2. Source: the Alexandria database, functional PBE.

Geometry as POSCAR:
```
CaTaAl2
1.0
-0.932 3.120 1.104
-2.440 0.127 -2.419
-4.469 -2.877 4.357
Al Ca Ta
2 1 1
Cartesian
-4.239 -2.729 4.133 Al
-2.464 -1.586 2.402 Al
-2.804 0.904 0.432 Ca
-5.038 -0.534 2.610 Ta
```

- DFT formation energy: -52 meV/atom
- Final energy: -5.3873 eV per atom
- Mass density: 5.6 g/cm3
- Space group: P4/mmm, No. 123
- Energy above the most stable polymorph in this dataset: 0.352 eV per formula unit